Version A
Density functional theory data (PBE+U) for CrP2F2 after structural relaxation.

The structure in CIF format:
```
data_CrP2F2
_space_group_name_H-M_alt 'P 1'
_space_group_IT_number 1
_cell_length_a 5.1369
_cell_length_b 5.1369
_cell_length_c 5.9239
_cell_angle_alpha 90.00
_cell_angle_beta 90.00
_cell_angle_gamma 90.00
loop_
_space_group_symop_operation_xyz
'x,y,z'
loop_
_atom_site_label
_atom_site_type_symbol
_atom_site_fract_x
_atom_site_fract_y
_atom_site_fract_z
Cr1 Cr 0.0000 0.0000 0.0000
Cr2 Cr 0.5000 0.5000 0.0000
P1 P 0.1511 0.3489 0.5000
P2 P 0.3489 0.8489 0.5000
P3 P 0.6511 0.1511 0.5000
P4 P 0.8489 0.6511 0.5000
F1 F 0.1738 0.6738 0.0000
F2 F 0.3262 0.1738 0.0000
F3 F 0.6738 0.8262 0.0000
F4 F 0.8262 0.3262 0.0000
```

Computed properties:
- total moment (μB/cell) = 2.374



Version B
Density functional theory data (PBE+U) for CrP2F2 after structural relaxation.

The structure in CIF format:
```
data_CrP2F2
_space_group_name_H-M_alt 'P 1'
_space_group_IT_number 1
_cell_length_a 9.3809
_cell_length_b 9.3809
_cell_length_c 9.3809
_cell_angle_alpha 161.11
_cell_angle_beta 161.11
_cell_angle_gamma 26.84
loop_
_space_group_symop_operation_xyz
'x,y,z'
loop_
_atom_site_label
_atom_site_type_symbol
_atom_site_fract_x
_atom_site_fract_y
_atom_site_fract_z
Cr1 Cr 0.0000 0.0000 0.0000
P1 P 0.2500 0.7500 0.5000
P2 P 0.7500 0.2500 0.5000
F1 F 0.4374 0.4374 0.0000
F2 F 0.5626 0.5626 0.0000
```

Computed properties:
- total moment (μB/cell) = 4.149



Which of them is most stable, and which least? Most stable: version B; least stable: version A.



Version A
Density functional theory data (PBE+U) for CrP2SF after structural relaxation.

The structure in CIF format:
```
data_CrP2SF
_space_group_name_H-M_alt 'P 1'
_space_group_IT_number 1
_cell_length_a 4.0723
_cell_length_b 4.0723
_cell_length_c 4.9588
_cell_angle_alpha 90.00
_cell_angle_beta 90.00
_cell_angle_gamma 90.00
loop_
_space_group_symop_operation_xyz
'x,y,z'
loop_
_atom_site_label
_atom_site_type_symbol
_atom_site_fract_x
_atom_site_fract_y
_atom_site_fract_z
Cr1 Cr 0.0000 0.0000 0.0000
P1 P 0.0000 0.5000 0.5000
P2 P 0.5000 0.0000 0.5000
S1 S 0.5000 0.5000 0.0000
F1 F 0.5000 0.5000 0.5000
```

Computed properties:
- total moment (μB/cell) = 0.470



Version B
Density functional theory data (PBE+U) for CrP2SF after structural relaxation.

The structure in CIF format:
```
data_CrP2SF
_space_group_name_H-M_alt 'P 1'
_space_group_IT_number 1
_cell_length_a 4.5110
_cell_length_b 4.5110
_cell_length_c 4.4411
_cell_angle_alpha 90.00
_cell_angle_beta 90.00
_cell_angle_gamma 90.00
loop_
_space_group_symop_operation_xyz
'x,y,z'
loop_
_atom_site_label
_atom_site_type_symbol
_atom_site_fract_x
_atom_site_fract_y
_atom_site_fract_z
Cr1 Cr 0.0000 0.0000 0.0000
P1 P 0.0000 0.5000 0.0000
P2 P 0.5000 0.0000 0.0000
S1 S 0.0000 0.0000 0.5000
F1 F 0.5000 0.5000 0.5000
```

Computed properties:
- total moment (μB/cell) = 0.496



Which of them is most stable, and which least? Most stable: version B; least stable: version A.